The following is a DFT calculation (SCAN) of a PBEsol-optimized structure of Al2OsRh.

Properties
E_form in eV/f.u.: -4.00
Electronic total energy in eV per atom: -31.29

a = 5.959 Å, b = 5.959 Å, c = 5.959 Å
α = 90.00°, β = 90.00°, γ = 90.00°
Space group Fm-3m (No. 225)
One atom of each set of equivalent atoms:
Al 0.250 0.250 0.250
Os 0.000 0.000 0.000
Rh 0.000 0.000 0.500



The following is a DFT calculation (SCAN) of a PBEsol-optimized structure of AlOsRh.

Properties
E_form in eV/f.u.: -0.81
Electronic total energy in eV per atom: -38.07

a = 2.728 Å, b = 3.757 Å, c = 8.034 Å
α = 90.00°, β = 90.00°, γ = 90.00°
Space group Imm2 (No. 44)
One atom of each set of equivalent atoms:
Al 0.000 0.000 0.000
Os 0.000 0.000 0.335
Rh 0.000 0.000 0.665



The following is a DFT calculation (SCAN) of a PBEsol-optimized structure of Al2OsRh.

Properties
E_form in eV/f.u.: -3.98
Electronic total energy in eV per atom: -31.28

a = 4.210 Å, b = 4.210 Å, c = 2.988 Å
α = 90.00°, β = 90.00°, γ = 90.00°
Space group P4/mmm (No. 123)
One atom of each set of equivalent atoms:
Al 0.000 0.500 0.000
Os 0.000 0.000 0.500
Rh 0.500 0.500 0.500